The following is a DFT calculation (PBE) of crystalline FeNiW2 at its relaxed geometry.

Summary:
Excess energy over the best structure of this formula in the dataset ... 252 meV per atom
Density of states at the Fermi level ... 4.4 states/eV/f.u.
Space group ... R3m, No. 160
Formation enthalpy at 0 K ... 0.33 eV per atom

Cell: 9.0120 9.0120 9.0120 Å, 17.35 17.35 17.35°
Last column: nearest neighbours and their distance in Å.
Fractional coordinates of all 4 atoms:
W: 0.0061 0.0061 0.0061  3 Ni 2.67, 9 W 2.72-2.95
W: 0.2457 0.2457 0.2457  9 W 2.72-2.95, 3 Fe 2.75
Ni: 0.7540 0.7540 0.7540  3 Fe 2.51, 3 W 2.67, 6 Ni 2.72
Fe: 0.4941 0.4941 0.4941  3 Ni 2.51, 6 Fe 2.72, 3 W 2.75